Entry 1:
The following is a DFT calculation (GGA-PBE) of CaMg2Zn after structural relaxation.

a = 3.4616 Å, b = 3.4616 Å, c = 29.6333 Å
α = 90.00°, β = 90.00°, γ = 120.00°
Space group R-3m (No. 166, hexagonal axes)
Asymmetric unit:
Ca1 0.0000 0.0000 0.0000 (multiplicity 3)
Mg1 0.0000 0.0000 0.2361 (multiplicity 6)
Zn1 0.0000 0.0000 0.5000 (multiplicity 3)

Calculated total energy = -0.0569 Ha/atom

Entry 2:
The following is a DFT calculation (GGA-PBE) of Ca2MgZn5 after structural relaxation.

a = 4.464 Å, b = 16.513 Å, c = 9.303 Å
α = 90.00°, β = 90.00°, γ = 90.00°
Space group Cmcm (No. 63)
Asymmetric unit:
Ca1 0.000 0.000 0.000 (multiplicity 4)
Ca2 0.000 0.203 0.250 (multiplicity 4)
Mg1 0.000 0.444 0.750 (multiplicity 4)
Zn1 0.000 0.187 0.610 (multiplicity 8)
Zn2 0.000 0.345 0.516 (multiplicity 8)
Zn3 0.000 0.392 0.250 (multiplicity 4)

Calculated total energy = -0.0617 Ha/atom

Entry 3:
The following is a DFT calculation (GGA-PBE) of CaMg4Zn2 after structural relaxation.

a = 4.376 Å, b = 16.707 Å, c = 4.370 Å
α = 90.00°, β = 90.00°, γ = 90.00°
Space group Cmmm (No. 65)
Asymmetric unit:
Ca1 0.000 0.000 0.000 (multiplicity 2)
Mg1 0.000 0.179 0.500 (multiplicity 4)
Mg2 0.000 0.321 0.000 (multiplicity 4)
Zn1 0.000 0.426 0.500 (multiplicity 4)

ΔE to the lowest computed polymorph = 0 meV per atom

Entry 4:
The following is a DFT calculation (GGA-PBE) of CaMgZn after structural relaxation.

a = 6.931 Å, b = 6.931 Å, c = 6.931 Å
α = 90.00°, β = 90.00°, γ = 90.00°
Space group F-43m (No. 216)
Asymmetric unit:
Ca1 0.000 0.000 0.000 (multiplicity 4)
Mg1 0.000 0.000 0.500 (multiplicity 4)
Zn1 0.250 0.250 0.250 (multiplicity 4)

Calculated total energy = -0.0611 Ha/atom

Entry 5:
The following is a DFT calculation (GGA-PBE) of Ca2MgZn2 after structural relaxation.

a = 7.711 Å, b = 7.711 Å, c = 4.322 Å
α = 90.00°, β = 90.00°, γ = 90.00°
Space group P4/mbm (No. 127)
Asymmetric unit:
Ca1 0.175 0.325 0.000 (multiplicity 4)
Mg1 0.000 0.000 0.500 (multiplicity 2)
Zn1 0.121 0.621 0.500 (multiplicity 4)

Calculated total energy = -0.0675 Ha/atom

Entry 6:
The following is a DFT calculation (GGA-PBE) of CaMgZn2 after structural relaxation.

a = 3.329 Å, b = 3.644 Å, c = 7.037 Å
α = 90.00°, β = 90.58°, γ = 90.00°
Space group P2/m (No. 10)
Asymmetric unit:
Ca1 0.000 0.000 0.000 (multiplicity 1)
Mg1 0.000 0.000 0.500 (multiplicity 1)
Zn1 0.499 0.500 0.713 (multiplicity 2)

Calculated total energy = -0.0625 Ha/atom

Ordered magnetic moment results: 0.00; 0.00; 0.00; 0.00; 0.00; 0.00; unit μB per cell.